(1)
Here is a relaxed structure of GdPuMnCu from Alexandria. Energies are from GGA-PBE. Values from VASP.

```
&SYSTEM
  ibrav = 0, nat = 4, ntyp = 4
/
ATOMIC_SPECIES
Gd 157.25 Gd.upf
Pu 244.00 Pu.upf
Mn 54.94 Mn.upf
Cu 63.55 Cu.upf
CELL_PARAMETERS angstrom
0.000 3.467 3.467
3.467 0.000 3.467
3.467 3.467 0.000
ATOMIC_POSITIONS angstrom
Gd 0.000 0.000 0.000
Pu 3.467 3.467 3.467
Mn 1.733 1.733 1.733
Cu 5.200 5.200 5.200
```

Results
calculated total energy = -41.3 eV/cell
calculated formation energy = 0.096 eV per atom

***

(2)
Here is a relaxed structure of LaInBr2 from Alexandria. Energies are from GGA-PBE. Values from VASP.

```
&SYSTEM
  ibrav = 0, nat = 8, ntyp = 3
/
ATOMIC_SPECIES
La 138.91 La.upf
In 114.82 In.upf
Br 79.90 Br.upf
CELL_PARAMETERS angstrom
-2.558 2.558 10.218
2.558 -2.558 10.218
2.558 2.558 -10.218
ATOMIC_POSITIONS angstrom
La 0.000 0.000 0.000
La 0.000 2.558 5.109
In 2.558 0.000 5.109
In 0.000 0.000 10.218
Br 3.837 1.171 -2.555
Br 1.171 1.279 2.555
Br -1.279 1.387 7.664
Br 1.387 1.279 12.773
```

Results
calculated total energy = -29.4 eV/cell
energy above the lowest structure with this stoichiometry = 0.2034 eV per atom
formation energy from raw total energies = -917 meV per atom